No. 1
## Fe2P (PBE)

Data for a geometry-optimized Fe2P structure.

Output
ρ = 7.17 g/cm³
energy relative to the elements = -132.3 kJ/mol of formula units
raw total energy = -7.902 eV/atom
SG = No. 44
D(E_F) = 0.830 states/eV per atom

Geometry as POSCAR:
```
Fe2P
1.0
-3.262 5.038 3.018
3.262 -5.038 3.018
3.262 5.038 -3.018
Fe P
12 6
direct
0.000 0.000 0.000
0.148 0.350 0.798
0.216 0.924 0.292
0.317 0.034 0.717
0.317 0.600 0.283
0.552 0.350 0.202
0.581 0.492 0.653
0.581 0.928 0.088
0.632 0.924 0.708
0.839 0.492 0.912
0.839 0.928 0.347
0.954 0.454 0.500
0.245 0.348 0.435
0.245 0.809 0.896
0.521 0.521 0.000
0.601 0.101 0.500
0.913 0.348 0.104
0.913 0.809 0.565
```

No. 2
## NaSbO2 (PBE)

Data for a geometry-optimized NaSbO2 structure.

Output
ρ = 4.00 g/cm³
raw total energy = -5.051 eV/atom
SG = No. 122
D(E_F) = 0.011 states/eV per atom

Geometry as POSCAR:
```
NaSbO2
1.0
-2.608 2.608 5.399
2.608 -2.608 5.399
2.608 2.608 -5.399
Na Sb O
2 2 4
direct
0.000 0.000 0.000
0.750 0.250 0.500
0.250 0.750 0.500
0.500 0.500 0.000
0.163 0.625 0.038
0.375 0.413 0.538
0.587 0.125 0.962
0.875 0.837 0.462
```

No. 3
## Al2TlMo2 (PBE)

Data for a geometry-optimized Al2TlMo2 structure.

Output
ρ = 8.92 g/cm³
energy relative to the elements = 140.1 kJ/mol of formula units
raw total energy = -6.012 eV/atom
SG = No. 127
polymorph energy (0 for the lowest one) = 81 meV/atom
D(E_F) = 0.840 states/eV per atom

Geometry as POSCAR:
```
Al2TlMo2
1.0
7.013 0.000 0.000
0.000 7.013 0.000
0.000 0.000 3.407
Al Tl Mo
4 2 4
direct
0.126 0.374 0.000
0.374 0.874 0.000
0.626 0.126 0.000
0.874 0.626 0.000
0.000 0.000 0.000
0.500 0.500 0.000
0.169 0.669 0.500
0.331 0.169 0.500
0.669 0.831 0.500
0.831 0.331 0.500
```